1.
Material: Lu3TiO
Method: DFT, PBE
State: relaxed

Geometry as POSCAR:
```
Lu3TiO
1.0
4.6761 0.0000 0.0000
0.0000 4.6761 0.0000
0.0000 0.0000 4.6761
Lu Ti O
3 1 1
direct
0.0000 0.0000 0.5000
0.0000 0.5000 0.0000
0.5000 0.0000 0.0000
0.5000 0.5000 0.5000
0.0000 0.0000 0.0000
```

Properties
E = -6.337 eV/atom
D(E_F) = 7.0 states/eV per cell
theoretical density = 9.56 g cm⁻³
raw formation energy = -1.054 eV per atom

2.
Material: P2OsSe
Method: DFT, PBE
State: relaxed

Geometry as POSCAR:
```
P2OsSe
1.0
2.9707 0.0000 0.0000
0.0000 4.4449 0.0000
0.0000 0.0000 4.5307
P Os Se
2 1 1
direct
0.0000 0.0000 0.0000
0.5000 0.0000 0.5000
0.0000 0.5000 0.5000
0.5000 0.5000 0.0000
```

Properties
E = -5.590 eV/atom
D(E_F) = 2.8 states/eV per cell
theoretical density = 9.19 g cm⁻³
raw formation energy = 0.793 eV per atom

3.
Material: ErGaCu3
Method: DFT, PBE
State: relaxed

Geometry as POSCAR:
```
ErGaCu3
1.0
5.5763 0.0000 0.0000
0.0000 7.3279 0.0000
0.0000 0.0000 4.5058
Er Ga Cu
2 2 6
direct
0.0000 0.0000 0.0000
0.5000 0.5000 0.0000
0.0000 0.5000 0.5000
0.5000 0.0000 0.5000
0.0000 0.5000 0.0000
0.2454 0.2473 0.5000
0.2546 0.7473 0.5000
0.5000 0.0000 0.0000
0.7454 0.2527 0.5000
0.7546 0.7527 0.5000
```

Properties
E above lowest polymorph = 1.56 eV/f.u.
E = -3.897 eV/atom
D(E_F) = 3.8 states/eV per cell
theoretical density = 7.71 g cm⁻³
energy of formation from the pure elements = 79 meV/atom

Values for M_tot, μB/atom, ordered as above
0.408 0.000 0.000